(1)
This record from Alexandria describes an optimized crystal structure of Ti2Al8Pd. The functional is PBE.

Output
ρ = 3.88 g cm⁻³
energy above the lowest structure with this stoichiometry = 0.00 eV/f.u.
density of states at the Fermi level = 0.57 states/eV/atom
space group = P4/mmm (123)

a = 4.0999 Å, b = 4.0999 Å, c = 10.6342 Å
α = 90.00°, β = 90.00°, γ = 90.00°
Closest atoms and distances in Å follow each position.
Element x y z (fractional)
Ti (0.0000, 0.0000, 0.3204)  12 Al 2.80-2.90
Ti (0.0000, 0.0000, 0.6796)  12 Al 2.80-2.90
Al (0.0000, 0.5000, 0.5000)  4 Ti 2.80, 8 Al 2.84-2.90
Al (0.5000, 0.0000, 0.5000)  4 Ti 2.80, 8 Al 2.84-2.90
Al (0.5000, 0.5000, 0.3154)  8 Al 2.78-2.84, 4 Ti 2.90
Al (0.5000, 0.5000, 0.6846)  8 Al 2.78-2.84, 4 Ti 2.90
Al (0.0000, 0.5000, 0.1391)  2 Pd 2.53, 2 Al 2.78, 2 Ti 2.81
Al (0.5000, 0.0000, 0.1391)  2 Pd 2.53, 2 Al 2.78, 2 Ti 2.81
Al (0.0000, 0.5000, 0.8609)  2 Pd 2.53, 2 Al 2.78, 2 Ti 2.81
Al (0.5000, 0.0000, 0.8609)  2 Pd 2.53, 2 Al 2.78, 2 Ti 2.81
Pd (0.0000, 0.0000, 0.0000)  8 Al 2.53


(2)
This record from Alexandria describes an optimized crystal structure of Sc2MnRhC. The functional is PBE.

Output
VASP energy = -8.151 eV per atom
ρ = 5.73 g cm⁻³
density of states at the Fermi level = 0.62 states/eV/atom
space group = P4/mmm (123)

a = 4.5263 Å, b = 4.5263 Å, c = 3.6731 Å
α = 90.00°, β = 90.00°, γ = 90.00°
Closest atoms and distances in Å follow each position.
Element x y z (fractional)
Sc (0.0000, 0.5000, 0.0000)  2 C 2.26
Sc (0.5000, 0.0000, 0.0000)  2 C 2.26
C (0.0000, 0.0000, 0.0000)  2 Mn 1.84
Mn (0.0000, 0.0000, 0.5000)  2 C 1.84
Rh (0.5000, 0.5000, 0.5000)  8 Sc 2.91, 4 Mn 3.20